The following is a DFT calculation (GGA+U) of crystalline Cr2FeTeO6 at its relaxed geometry.

Output
Total DFT energy (no corrections) = -0.2518 Ha/atom
V = 115.09 Å³ per cell

Lattice parameters (Å, degrees): 5.379 5.399 5.574 60.63 60.32 59.79
Element x y z (fractional)
Cr: 0.520 0.517 0.443
Cr: 0.014 0.015 0.958
Fe: 0.801 0.808 0.582
Te: 0.306 0.310 0.076
O: 0.657 0.237 0.235
O: 0.228 0.867 0.242
O: 0.875 0.656 0.226
O: 0.391 0.717 0.750
O: 0.721 0.149 0.749
O: 0.149 0.385 0.755